The following is a DFT calculation (GGA+U) of a geometry-optimized LaNiPO structure.

```
data_LaNiPO
_cell_length_a 4.0917
_cell_length_b 4.0917
_cell_length_c 7.9258
_cell_angle_alpha 90.00
_cell_angle_beta 90.00
_cell_angle_gamma 90.00
_space_group_name_H-M_alt 'P 1'
_space_group_IT_number 1
loop_
_space_group_symop_operation_xyz
'x,y,z'
loop_
_atom_site_label
_atom_site_type_symbol
_atom_site_fract_x
_atom_site_fract_y
_atom_site_fract_z
La1 La 0.2500 0.2500 0.1532
La2 La 0.7500 0.7500 0.8468
Ni1 Ni 0.2500 0.7500 0.5000
Ni2 Ni 0.7500 0.2500 0.5000
P1 P 0.2500 0.2500 0.6120
P2 P 0.7500 0.7500 0.3880
O1 O 0.2500 0.7500 0.0000
O2 O 0.7500 0.2500 0.0000
```

Output
Calculated volume, Å³/cell: 132.7
Uncorrected energy, eV per cell: -48.85